Here is a geometry-optimized Ac4SbTe2Au structure from the Alexandria database. Energies are from PBE-GGA.

Cell lengths 6.704, 6.704, 13.286 Å; angles 90.00, 90.00, 90.00 degrees
Fractional positions:
Ac (0.000, 0.000, 0.240)
Ac (0.000, 0.000, 0.760)
Ac (0.000, 0.500, 0.003)
Ac (0.000, 0.500, 0.497)
Ac (0.500, 0.000, 0.503)
Ac (0.500, 0.000, 0.997)
Ac (0.500, 0.500, 0.260)
Ac (0.500, 0.500, 0.740)
Sb (0.000, 0.500, 0.250)
Sb (0.500, 0.000, 0.750)
Te (0.000, 0.000, 0.500)
Te (0.000, 0.500, 0.750)
Te (0.500, 0.000, 0.250)
Te (0.500, 0.500, 0.000)
Au (0.000, 0.000, 0.000)
Au (0.500, 0.500, 0.500)

Energy = -79.6 eV/cell
Energy relative to the elements, uncorrected = -1209.3 meV/atom
Volume = 37.3 A^3/atom

***

Here is a geometry-optimized GaPW2 structure from the Alexandria database. Energies are from PBE-GGA.

Cell lengths 6.150, 6.150, 6.150 Å; angles 90.00, 90.00, 90.00 degrees
Fractional positions:
Ga (0.000, 0.000, 0.000)
Ga (0.000, 0.500, 0.500)
Ga (0.500, 0.000, 0.500)
Ga (0.500, 0.500, 0.000)
P (0.000, 0.000, 0.500)
P (0.000, 0.500, 0.000)
P (0.500, 0.000, 0.000)
P (0.500, 0.500, 0.500)
W (0.250, 0.250, 0.250)
W (0.250, 0.250, 0.750)
W (0.250, 0.750, 0.250)
W (0.250, 0.750, 0.750)
W (0.750, 0.250, 0.250)
W (0.750, 0.250, 0.750)
W (0.750, 0.750, 0.250)
W (0.750, 0.750, 0.750)

ΔE to the lowest computed polymorph = 0 meV/atom
Energy = -133.0 eV/cell
Volume = 14.5 A^3/atom